VASP calculation (PBE) on a relaxed Sm2Tm4ThSc crystal.

Lattice parameters (Å, degrees): 5.737 5.745 9.416 52.40 90.00 90.00
Atoms (fractional coordinates):
Sm  0.000  0.000  0.000
Sm  0.500  0.000  0.500
Tm  0.000  0.743  0.756
Tm  0.000  0.257  0.244
Tm  0.500  0.756  0.243
Tm  0.500  0.244  0.757
Th  0.000  0.500  0.500
Sc  0.500  0.500  0.000

Output
- Crystal system: tetragonal
- Calculated total energy: -5.0048 eV/atom
- DOS(E_F): 1.86 states/eV/atom
- Size of the total moment: 0.001 μB/f.u.